# 1
# LaGeSe2N

An optimized crystal structure of LaGeSe2N (PBE, Alexandria via LeMat-Bulk).

The structure in CIF format:
```
data_LaGeSe2N
_chemical_formula_sum 'La1 Ge1 Se2 N1'
_cell_length_a 5.2045
_cell_length_b 5.2045
_cell_length_c 3.7820
_cell_angle_alpha 90.00
_cell_angle_beta 90.00
_cell_angle_gamma 90.00
_symmetry_space_group_name_H-M 'P 4/m m m'
_symmetry_Int_Tables_number 123
_symmetry_space_group_name_Hall '-P 4 2'
loop_
_atom_site_label
_atom_site_type_symbol
_atom_site_fract_x
_atom_site_fract_y
_atom_site_fract_z
La1 La 0.0000 0.0000 0.0000
Ge1 Ge 0.5000 0.5000 0.5000
Se1 Se 0.0000 0.5000 0.5000
N1 N 0.5000 0.5000 0.0000
```

* ΔE to the lowest computed polymorph: 0.000 eV per atom
* Fermi-level density of states: 1.8 states/eV per cell
* energy relative to the elements, uncorrected: -0.436 eV per atom
* crystal system: tetragonal

# 2
# GaAgAu3

An optimized crystal structure of GaAgAu3 (PBE, Alexandria via LeMat-Bulk).

The structure in CIF format:
```
data_GaAgAu3
_chemical_formula_sum 'Ga1 Ag1 Au3'
_cell_length_a 5.1573
_cell_length_b 5.1573
_cell_length_c 5.1573
_cell_angle_alpha 90.00
_cell_angle_beta 90.00
_cell_angle_gamma 90.00
_symmetry_space_group_name_H-M 'P m -3 m'
_symmetry_Int_Tables_number 221
_symmetry_space_group_name_Hall '-P 4 2 3'
loop_
_atom_site_label
_atom_site_type_symbol
_atom_site_fract_x
_atom_site_fract_y
_atom_site_fract_z
Ga1 Ga 0.0000 0.0000 0.0000
Ag1 Ag 0.5000 0.5000 0.5000
Au1 Au 0.0000 0.5000 0.5000
```

* ΔE to the lowest computed polymorph: 0.701 eV per atom
* Fermi-level density of states: 1.8 states/eV per cell
* crystal system: cubic

# 3
# CaReAs2

An optimized crystal structure of CaReAs2 (PBE, Alexandria via LeMat-Bulk).

The structure in CIF format:
```
data_CaReAs2
_chemical_formula_sum 'Ca1 Re1 As2'
_cell_length_a 3.4857
_cell_length_b 4.4264
_cell_length_c 6.3732
_cell_angle_alpha 90.00
_cell_angle_beta 105.82
_cell_angle_gamma 90.00
_symmetry_space_group_name_H-M 'P 1 m 1'
_symmetry_Int_Tables_number 6
loop_
_symmetry_equiv_pos_as_xyz
'x,y,z'
'x,-y,z'
loop_
_atom_site_label
_atom_site_type_symbol
_atom_site_fract_x
_atom_site_fract_y
_atom_site_fract_z
Ca1 Ca 0.0000 0.0000 0.0000
Re1 Re 0.7814 0.5000 0.5612
As1 As 0.4212 0.5000 0.8417
As2 As 0.7063 0.0000 0.4146
```

* ΔE to the lowest computed polymorph: 0.146 eV per atom
* Fermi-level density of states: 2.4 states/eV per cell
* crystal system: monoclinic

# 4
# Ac2BiS4

An optimized crystal structure of Ac2BiS4 (PBE, Alexandria via LeMat-Bulk).

The structure in CIF format:
```
data_Ac2BiS4
_chemical_formula_sum 'Ac4 Bi2 S8'
_cell_length_a 14.0391
_cell_length_b 4.6063
_cell_length_c 7.5830
_cell_angle_alpha 90.00
_cell_angle_beta 118.60
_cell_angle_gamma 90.00
_symmetry_space_group_name_H-M 'C 1 2/m 1'
_symmetry_Int_Tables_number 12
loop_
_symmetry_equiv_pos_as_xyz
'x,y,z'
'-x,-y,-z'
'-x,y,-z'
'x,-y,z'
'x+1/2,y+1/2,z'
'-x+1/2,-y+1/2,-z'
'-x+1/2,y+1/2,-z'
'x+1/2,-y+1/2,z'
loop_
_atom_site_label
_atom_site_type_symbol
_atom_site_fract_x
_atom_site_fract_y
_atom_site_fract_z
Ac1 Ac 0.2094 0.0000 0.2061
Bi1 Bi 0.0000 0.5000 0.5000
S1 S 0.1181 0.5000 0.9253
S2 S 0.1429 0.0000 0.5245
```

* Fermi-level density of states: 1.8 states/eV per cell
* energy relative to the elements, uncorrected: -1.444 eV per atom
* crystal system: monoclinic

# 5
# Pm2NpGe

An optimized crystal structure of Pm2NpGe (PBE, Alexandria via LeMat-Bulk).

The structure in CIF format:
```
data_Pm2NpGe
_chemical_formula_sum 'Pm8 Np4 Ge4'
_cell_length_a 7.5116
_cell_length_b 7.5116
_cell_length_c 7.5116
_cell_angle_alpha 90.00
_cell_angle_beta 90.00
_cell_angle_gamma 90.00
_symmetry_space_group_name_H-M 'F m -3 m'
_symmetry_Int_Tables_number 225
_symmetry_space_group_name_Hall '-F 4 2 3'
loop_
_atom_site_label
_atom_site_type_symbol
_atom_site_fract_x
_atom_site_fract_y
_atom_site_fract_z
Pm1 Pm 0.2500 0.2500 0.2500
Np1 Np 0.0000 0.0000 0.0000
Ge1 Ge 0.0000 0.0000 0.5000
```

* ΔE to the lowest computed polymorph: 0.243 eV per atom
* Fermi-level density of states: 77.7 states/eV per cell
* crystal system: cubic

# 6
# LiAcYTc

An optimized crystal structure of LiAcYTc (PBE, Alexandria via LeMat-Bulk).

The structure in CIF format:
```
data_LiAcYTc
_chemical_formula_sum 'Li4 Ac4 Y4 Tc4'
_cell_length_a 7.2734
_cell_length_b 7.2734
_cell_length_c 7.2734
_cell_angle_alpha 90.00
_cell_angle_beta 90.00
_cell_angle_gamma 90.00
_symmetry_space_group_name_H-M 'F -4 3 m'
_symmetry_Int_Tables_number 216
_symmetry_space_group_name_Hall 'F -4 2 3'
loop_
_atom_site_label
_atom_site_type_symbol
_atom_site_fract_x
_atom_site_fract_y
_atom_site_fract_z
Li1 Li 0.0000 0.0000 0.0000
Ac1 Ac 0.2500 0.2500 0.7500
Y1 Y 0.2500 0.2500 0.2500
Tc1 Tc 0.0000 0.0000 0.5000
```

* VASP energy: -5.62 eV per atom
* Fermi-level density of states: 17.6 states/eV per cell
* crystal system: cubic

# 7
# Rb3AcPu2Te6

An optimized crystal structure of Rb3AcPu2Te6 (PBE, Alexandria via LeMat-Bulk).

The structure in CIF format:
```
data_Rb3AcPu2Te6
_chemical_formula_sum 'Rb6 Ac2 Pu4 Te12'
_cell_length_a 8.1472
_cell_length_b 14.1120
_cell_length_c 8.9587
_cell_angle_alpha 90.00
_cell_angle_beta 107.71
_cell_angle_gamma 90.00
_symmetry_space_group_name_H-M 'C 1 2/m 1'
_symmetry_Int_Tables_number 12
loop_
_symmetry_equiv_pos_as_xyz
'x,y,z'
'-x,-y,-z'
'-x,y,-z'
'x,-y,z'
'x+1/2,y+1/2,z'
'-x+1/2,-y+1/2,-z'
'-x+1/2,y+1/2,-z'
'x+1/2,-y+1/2,z'
loop_
_atom_site_label
_atom_site_type_symbol
_atom_site_fract_x
_atom_site_fract_y
_atom_site_fract_z
Rb1 Rb 0.0000 0.0000 0.0000
Rb2 Rb 0.0000 0.3368 0.0000
Ac1 Ac 0.0000 0.5000 0.5000
Pu1 Pu 0.0000 0.1671 0.5000
Te1 Te 0.2191 0.0000 0.7031
Te2 Te 0.2426 0.3257 0.7041
```

* Fermi-level density of states: 55.1 states/eV per cell
* energy relative to the elements, uncorrected: -1.218 eV per atom
* crystal system: monoclinic

# 8
# Nd2MgZn3Ga4

An optimized crystal structure of Nd2MgZn3Ga4 (PBE, Alexandria via LeMat-Bulk).

The structure in CIF format:
```
data_Nd2MgZn3Ga4
_chemical_formula_sum 'Nd2 Mg1 Zn3 Ga4'
_cell_length_a 4.2867
_cell_length_b 4.2867
_cell_length_c 10.8484
_cell_angle_alpha 90.00
_cell_angle_beta 90.00
_cell_angle_gamma 90.00
_symmetry_space_group_name_H-M 'P -4 m 2'
_symmetry_Int_Tables_number 115
loop_
_symmetry_equiv_pos_as_xyz
'x,y,z'
'y,-x,-z'
'-x,-y,z'
'-y,x,-z'
'-x,y,z'
'-y,-x,-z'
'x,-y,z'
'y,x,-z'
loop_
_atom_site_label
_atom_site_type_symbol
_atom_site_fract_x
_atom_site_fract_y
_atom_site_fract_z
Nd1 Nd 0.0000 0.5000 0.2417
Mg1 Mg 0.0000 0.0000 0.5000
Zn1 Zn 0.0000 0.5000 0.8682
Zn2 Zn 0.5000 0.5000 0.5000
Ga1 Ga 0.0000 0.0000 0.0000
Ga2 Ga 0.0000 0.5000 0.6438
Ga3 Ga 0.5000 0.5000 0.0000
```

* VASP energy: -3.17 eV per atom
* Fermi-level density of states: 2.0 states/eV per cell
* crystal system: tetragonal